#P
{
  "formula": "Cs2TlTe2",
  "functional": "PBE",
  "state": "optimized geometry",
  "spacegroup": "P4/mbm (127)",
  "magnetic_moment_mub_per_atom": 0.21,
  "crystal_system": "tetragonal",
  "lattice_angstrom": [[9.196, 0.000, 0.000], [0.000, 9.196, 0.000], [0.000, 0.000, 5.631]],
  "species": ["Cs", "Cs", "Cs", "Cs", "Tl", "Tl", "Te", "Te", "Te", "Te"],
  "fractional_positions": [[0.156, 0.344, 0.000], [0.344, 0.844, 0.000], [0.656, 0.156, 0.000], [0.844, 0.656, 0.000], [0.000, 0.000, 0.500], [0.500, 0.500, 0.500], [0.140, 0.640, 0.500], [0.360, 0.140, 0.500], [0.640, 0.860, 0.500], [0.860, 0.360, 0.500]]
}



#Q
{
  "formula": "Cs2TlTe2",
  "functional": "PBE",
  "state": "optimized geometry",
  "spacegroup": "P4/mbm (127)",
  "magnetic_moment_mub_per_atom": 0.00,
  "crystal_system": "tetragonal",
  "lattice_angstrom": [[11.003, 0.000, 0.000], [0.000, 11.003, 0.000], [0.000, 0.000, 3.774]],
  "species": ["Cs", "Cs", "Cs", "Cs", "Tl", "Tl", "Te", "Te", "Te", "Te"],
  "fractional_positions": [[0.123, 0.377, 0.000], [0.377, 0.877, 0.000], [0.623, 0.123, 0.000], [0.877, 0.623, 0.000], [0.000, 0.000, 0.000], [0.500, 0.500, 0.000], [0.175, 0.675, 0.500], [0.325, 0.175, 0.500], [0.675, 0.825, 0.500], [0.825, 0.325, 0.500]]
}



What should be chosen as the least stable of them? Choose #Q.



#P
{
  "formula": "CsTlTe",
  "functional": "PBE",
  "state": "optimized geometry",
  "spacegroup": "Pnma (62)",
  "magnetic_moment_mub_per_atom": 0.00,
  "crystal_system": "orthorhombic",
  "lattice_angstrom": [[8.670, 0.000, 0.000], [0.000, 5.226, 0.000], [0.000, 0.000, 12.884]],
  "species": ["Cs", "Cs", "Cs", "Cs", "Tl", "Tl", "Tl", "Tl", "Te", "Te", "Te", "Te"],
  "fractional_positions": [[0.146, 0.250, 0.133], [0.354, 0.750, 0.633], [0.646, 0.250, 0.367], [0.854, 0.750, 0.867], [0.013, 0.750, 0.368], [0.487, 0.250, 0.868], [0.513, 0.750, 0.132], [0.987, 0.250, 0.632], [0.212, 0.250, 0.434], [0.288, 0.750, 0.934], [0.712, 0.250, 0.066], [0.788, 0.750, 0.566]]
}



#Q
{
  "formula": "CsTlTe",
  "functional": "PBE",
  "state": "optimized geometry",
  "spacegroup": "F-43m (216)",
  "magnetic_moment_mub_per_atom": 0.00,
  "crystal_system": "cubic",
  "lattice_angstrom": [[0.000, 4.266, 4.266], [4.266, 0.000, 4.266], [4.266, 4.266, 0.000]],
  "species": ["Cs", "Tl", "Te"],
  "fractional_positions": [[0.000, 0.000, 0.000], [0.500, 0.500, 0.500], [0.750, 0.750, 0.750]]
}



What should be chosen as the least stable of them? Choose #Q.